BaCa3Pd | GGA-PBE | relaxed

Unit cell a=10.3307 b=10.3307 c=7.4815 alpha=94.40 beta=94.40 gamma=97.92
Fractional coordinates of all 20 atoms:
Ba 0.0765 0.6720 0.8864
Ba 0.3280 0.9235 0.6136
Ba 0.6720 0.0765 0.3864
Ba 0.9235 0.3280 0.1136
Ca 0.0649 0.1971 0.6382
Ca 0.1956 0.5628 0.4349
Ca 0.1971 0.0649 0.1382
Ca 0.3363 0.4253 0.0291
Ca 0.4253 0.3363 0.5291
Ca 0.4372 0.8044 0.0651
Ca 0.5628 0.1956 0.9349
Ca 0.5747 0.6637 0.4709
Ca 0.6637 0.5747 0.9709
Ca 0.8029 0.9351 0.8618
Ca 0.8044 0.4372 0.5651
Ca 0.9351 0.8029 0.3618
Pd 0.1975 0.8025 0.2500
Pd 0.3977 0.6023 0.7500
Pd 0.6023 0.3977 0.2500
Pd 0.8025 0.1975 0.7500

Calculated values
**Energy relative to the elements**: -0.27 eV/atom
**Space group**: No. 15
**Calculated density**: 3.1 g/cm³
**Relative energy among the computed polymorphs**: 0.044 eV/atom